No. 1
Material: Rh5PbSe8
Method: DFT, PBE-GGA
State: relaxed

Computed properties:
DOS at the Fermi energy, states/eV/cell: 6.62
Formation energy from raw total energies, kJ per mole of atoms: -34.5

a b c (Å): 9.506 9.506 8.567
angles (deg): 103.17 103.17 22.67
Atoms (fractional coordinates):
Rh 0.000 0.000 0.000
Rh 0.045 0.045 0.348
Rh 0.343 0.343 0.027
Rh 0.641 0.641 0.706
Rh 0.687 0.687 0.054
Pb 0.846 0.846 0.526
Se 0.108 0.108 0.877
Se 0.170 0.170 0.535
Se 0.257 0.257 0.209
Se 0.430 0.430 0.846
Se 0.516 0.516 0.519
Se 0.579 0.579 0.178
Se 0.776 0.776 0.856
Se 0.910 0.910 0.197

=====

No. 2
Material: Rh2PbSe
Method: DFT, PBE-GGA
State: relaxed

Computed properties:
DOS at the Fermi energy, states/eV/cell: 8.90
Formation energy from raw total energies, kJ per mole of atoms: 5.8

a b c (Å): 3.226 3.226 24.183
angles (deg): 90.00 90.00 120.00
Atoms (fractional coordinates):
Rh 0.000 0.000 0.242
Rh 0.000 0.000 0.758
Rh 0.333 0.667 0.424
Rh 0.333 0.667 0.909
Rh 0.667 0.333 0.091
Rh 0.667 0.333 0.576
Pb 0.000 0.000 0.000
Pb 0.333 0.667 0.667
Pb 0.667 0.333 0.333
Se 0.000 0.000 0.500
Se 0.333 0.667 0.167
Se 0.667 0.333 0.833

=====

No. 3
Material: Rh2PbSe
Method: DFT, PBE-GGA
State: relaxed

Computed properties:
DOS at the Fermi energy, states/eV/cell: 5.67
Formation energy from raw total energies, kJ per mole of atoms: -7.4

a b c (Å): 8.682 3.332 5.489
angles (deg): 90.00 100.13 90.00
Atoms (fractional coordinates):
Rh 0.000 0.000 0.000
Rh 0.245 0.000 0.711
Rh 0.500 0.500 0.000
Rh 0.745 0.500 0.711
Pb 0.249 0.500 0.242
Pb 0.749 0.000 0.242
Se 0.028 0.500 0.681
Se 0.528 0.000 0.681

=====

No. 4
Material: RhPb2Se2
Method: DFT, PBE-GGA
State: relaxed

Computed properties:
DOS at the Fermi energy, states/eV/cell: 6.48
Formation energy from raw total energies, kJ per mole of atoms: -26.8

a b c (Å): 4.433 4.452 13.129
angles (deg): 94.01 93.31 90.30
Atoms (fractional coordinates):
Rh 0.188 0.306 0.251
Rh 0.812 0.694 0.749
Pb 0.192 0.774 0.105
Pb 0.273 0.687 0.604
Pb 0.727 0.313 0.396
Pb 0.808 0.226 0.895
Se 0.240 0.823 0.349
Se 0.321 0.719 0.850
Se 0.679 0.281 0.150
Se 0.760 0.177 0.651